# 1
A relaxed structure of SmErCoCu, computed with PBE.

Unit cell a=4.8421 b=4.8421 c=4.8421 alpha=60.00 beta=60.00 gamma=60.00
With the nearest neighbours (Å) after each atom.
Fractional coordinates of all 4 atoms:
Co: 0.7500 0.7500 0.7500  4 Er 2.97, 4 Sm 2.97
Er: 0.0000 0.0000 0.0000  4 Co 2.97, 4 Cu 2.97
Sm: 0.5000 0.5000 0.5000  4 Cu 2.97, 4 Co 2.97
Cu: 0.2500 0.2500 0.2500  4 Er 2.97, 4 Sm 2.97

Properties
M_tot (μB/f.u.): 0.370
ΔE_f (meV/atom): -154.6
VASP energy (eV per formula unit): -21.10
Symmetry: F-43m (216)
Distance to the lowest polymorph of the same formula (eV/atom): 0.033
DOS(E_F) (states/eV/atom): 0.8403

=====

# 2
A relaxed structure of ErCoCuSn, computed with PBE.

Unit cell a=4.5988 b=4.5988 c=4.5988 alpha=60.00 beta=60.00 gamma=60.00
With the nearest neighbours (Å) after each atom.
Fractional coordinates of all 4 atoms:
Co: 0.0000 0.0000 0.0000  4 Er 2.82, 4 Sn 2.82
Er: 0.7500 0.7500 0.7500  4 Cu 2.82, 4 Co 2.82
Cu: 0.5000 0.5000 0.5000  4 Sn 2.82, 4 Er 2.82
Sn: 0.2500 0.2500 0.2500  4 Co 2.82, 4 Cu 2.82

Properties
M_tot (μB/f.u.): 0.750
ΔE_f (meV/atom): -268.0
VASP energy (eV per formula unit): -20.84
Symmetry: F-43m (216)
DOS(E_F) (states/eV/atom): 0.9612

=====

# 3
A relaxed structure of ErThCoCu, computed with PBE.

Unit cell a=4.8845 b=4.8845 c=4.8845 alpha=60.00 beta=60.00 gamma=60.00
With the nearest neighbours (Å) after each atom.
Fractional coordinates of all 4 atoms:
Er: 0.5000 0.5000 0.5000  4 Co 2.99, 4 Cu 2.99
Co: 0.2500 0.2500 0.2500  4 Th 2.99, 4 Er 2.99
Th: 0.0000 0.0000 0.0000  4 Co 2.99, 4 Cu 2.99
Cu: 0.7500 0.7500 0.7500  4 Er 2.99, 4 Th 2.99

Properties
M_tot (μB/f.u.): 0.000
ΔE_f (meV/atom): -169.1
VASP energy (eV per formula unit): -23.86
Symmetry: F-43m (216)
Distance to the lowest polymorph of the same formula (eV/atom): 0.130
DOS(E_F) (states/eV/atom): 0.5297